MnCrRu2 | PBE | relaxed

The total DFT energy (no corrections) comes out at -9.162 eV per atom. The formation energy comes out at 0.17 eV/atom.

The structure belongs to space group R3m (No. 160, hexagonal axes); the cell edges are 2.6463, 2.6463 and 25.5236 Å and the angles 90.00°, 90.00° and 120.00°. The asymmetric unit holds Mn at (0.0000, 0.0000, 0.0000), Cr at (0.0000, 0.0000, 0.2527), Ru at (0.0000, 0.0000, 0.5059) and Ru at (0.0000, 0.0000, 0.7461).


GdNi4Ge | PBE | relaxed

The total DFT energy (no corrections) comes out at -7.286 eV per atom. The formation energy comes out at -0.32 eV/atom.

The structure belongs to space group F-43m (No. 216); the cell edges are 6.9670, 6.9670 and 6.9670 Å and the angles 90.00°, 90.00° and 90.00°. The asymmetric unit holds Gd at (0.0000, 0.0000, 0.0000), Ni at (0.1240, 0.1240, 0.3760) and Ge at (0.2500, 0.2500, 0.7500).


Hf6In2Fe | PBE | relaxed

The total DFT energy (no corrections) comes out at -7.953 eV per atom. The formation energy comes out at 0.23 eV/atom.

The structure belongs to space group C2/m (No. 12); the cell edges are 14.5775, 6.3170 and 4.9244 Å and the angles 90.00°, 109.66° and 90.00°. The asymmetric unit holds Hf at (0.0000, 0.2424, 0.0000), Hf at (0.1355, 0.2500, 0.6348), In at (0.1831, 0.5000, 0.1822) and Fe at (0.0000, 0.0000, 0.5000).


Tb3Pr2Er6Zr | PBE | relaxed

The total DFT energy (no corrections) comes out at -4.893 eV per atom. The formation energy comes out at 0.05 eV/atom.

The structure belongs to space group C2/m (No. 12); the cell edges are 6.1108, 10.5715 and 11.6440 Å and the angles 90.00°, 100.03° and 90.00°. The asymmetric unit holds Tb at (0.0000, 0.0000, 0.0000), Tb at (0.0000, 0.3336, 0.0000), Pr at (0.0000, 0.1668, 0.5000), Er at (0.2433, 0.5000, 0.2524), Er at (0.2457, 0.3370, 0.7478) and Zr at (0.0000, 0.5000, 0.5000).